A relaxed CeErPb crystal. Source: Alexandria, functional PBE.

Unit cell a=5.3708 b=5.3708 c=3.6388 alpha=90.00 beta=90.00 gamma=120.00
Space group P3m1 (No. 156)
Unique sites:
Ce: 0.0000 0.0000 0.0000 (multiplicity 1)
Er: 0.3333 0.6667 0.5392 (multiplicity 1)
Pb: 0.6667 0.3333 0.3803 (multiplicity 1)

Computed properties:
Total moment   1.8 μB per cell
N(E_F)   7.6 states/eV/cell
ΔH_f (0 K)   -144.3 meV/atom
E above lowest polymorph   75.4 kJ/mol of formula units